Compound: Mg2CrOsBr
Source: the Alexandria database
Functional: PBE
Structure: relaxed

Summary:
Magnetic moment: 2.85 Bohr magnetons per cell
ΔE_f (raw): 0.519 eV/atom
Space group: P4/mmm
Calculated volume: 24.420 Å³/atom

Structure (POSCAR):
```
Mg2CrOsBr
1.0
5.192 0.000 0.000
0.000 5.192 0.000
0.000 0.000 4.530
Mg Cr Os Br
2 1 1 1
Direct
0.000 0.500 0.000
0.500 0.000 0.000
0.000 0.000 0.500
0.000 0.000 0.000
0.500 0.500 0.500
```